Material: CaVCrF6
Method: DFT, PBE with a Hubbard U
State: relaxed

Crystal system: tetragonal
Space group: P4_2nm, No. 102
Calculated total energy, eV per atom: -6.163
Volume, Å³/f.u.: 128.2
Density, kg/m3: 3330

abc: 4.971 4.971 10.375
angles: 90.00 90.00 90.00
Last column: magnetic moment on the atom in μB.
Fractional positions:
1 Cr 0.000 0.000 0.331  3.82
2 Cr 0.500 0.500 0.831  3.82
3 F 0.201 0.799 0.170  0.01
4 F 0.816 0.184 0.505  0.01
5 F 0.799 0.201 0.170  0.01
6 F 0.299 0.299 0.670  0.01
7 F 0.684 0.684 0.005  0.01
8 F 0.293 0.293 0.326  0.00
9 F 0.316 0.316 0.005  0.01
10 F 0.793 0.207 0.826  0.00
11 F 0.701 0.701 0.670  0.01
12 F 0.207 0.793 0.826  0.00
13 F 0.184 0.816 0.505  0.01
14 F 0.707 0.707 0.326  0.00
15 Ca 0.000 0.000 0.000  0.00
16 Ca 0.500 0.500 0.500  0.00
17 V 0.000 0.000 0.667  2.77
18 V 0.500 0.500 0.167  2.77